(1)
# Li2CoRe2 PBE-GGA optimized geometry
data_Li2CoRe2
_space_group_name_H-M_alt 'I 4/m m m'
_space_group_IT_number 139
_space_group_name_Hall '-I 4 2'
_cell_length_a 3.605
_cell_length_b 3.605
_cell_length_c 10.056
_cell_angle_alpha 90.00
_cell_angle_beta 90.00
_cell_angle_gamma 90.00
loop_
_atom_site_label
_atom_site_type_symbol
_atom_site_fract_x
_atom_site_fract_y
_atom_site_fract_z
Li1 Li 0.000 0.000 0.082
Co1 Co 0.000 0.000 0.500
Re1 Re 0.000 0.500 0.250
# Crystal system: tetragonal
# Energy above the lowest structure with this stoichiometry: 232.7 meV per atom
# Formation energy: 0.88 eV/atom

(2)
# CrTcNiPt PBE-GGA optimized geometry
data_CrTcNiPt
_space_group_name_H-M_alt 'F -4 3 m'
_space_group_IT_number 216
_space_group_name_Hall 'F -4 2 3'
_cell_length_a 5.976
_cell_length_b 5.976
_cell_length_c 5.976
_cell_angle_alpha 90.00
_cell_angle_beta 90.00
_cell_angle_gamma 90.00
loop_
_atom_site_label
_atom_site_type_symbol
_atom_site_fract_x
_atom_site_fract_y
_atom_site_fract_z
Cr1 Cr 0.000 0.000 0.000
Tc1 Tc 0.250 0.250 0.750
Ni1 Ni 0.000 0.000 0.500
Pt1 Pt 0.250 0.250 0.250
# Crystal system: cubic
# Formation energy: 0.03 eV/atom

(3)
# Mo3HW PBE-GGA optimized geometry
data_Mo3HW
_space_group_name_H-M_alt 'P m -3 m'
_space_group_IT_number 221
_space_group_name_Hall '-P 4 2 3'
_cell_length_a 4.776
_cell_length_b 4.776
_cell_length_c 4.776
_cell_angle_alpha 90.00
_cell_angle_beta 90.00
_cell_angle_gamma 90.00
loop_
_atom_site_label
_atom_site_type_symbol
_atom_site_fract_x
_atom_site_fract_y
_atom_site_fract_z
Mo1 Mo 0.000 0.000 0.500
H1 H 0.500 0.500 0.500
W1 W 0.000 0.000 0.000
# Crystal system: cubic
# Energy above the lowest structure with this stoichiometry: 2248.8 meV per atom

(4)
# NaGaSe2N PBE-GGA optimized geometry
data_NaGaSe2N
_space_group_name_H-M_alt 'P 4/m m m'
_space_group_IT_number 123
_space_group_name_Hall '-P 4 2'
_cell_length_a 5.300
_cell_length_b 5.300
_cell_length_c 4.595
_cell_angle_alpha 90.00
_cell_angle_beta 90.00
_cell_angle_gamma 90.00
loop_
_atom_site_label
_atom_site_type_symbol
_atom_site_fract_x
_atom_site_fract_y
_atom_site_fract_z
Na1 Na 0.000 0.000 0.000
Ga1 Ga 0.500 0.500 0.500
Se1 Se 0.000 0.500 0.000
N1 N 0.000 0.000 0.500
# Crystal system: tetragonal
# Energy above the lowest structure with this stoichiometry: 830.1 meV per atom
# E_form (uncorrected): 531 kJ/mol of formula units

no.,raw total energy (eV/atom),calculated density (g/cm3)
1,-6.286,11.3
2,-7.918,12.6
3,-7.248,7.2
4,-2.826,3.4